No. 1
The following is a GGA-PBE calculation of a geometry-optimized Rb2InHg2 structure, from the Alexandria database.

```
Rb2InHg2
1.0
-3.563 3.563 4.430
3.563 -3.563 4.430
3.563 3.563 -4.430
Rb In Hg
2 1 2
direct
0.250 0.750 0.500
0.750 0.250 0.500
0.000 0.000 0.000
0.335 0.335 0.000
0.665 0.665 0.000
```

Properties
energy above the most stable polymorph in this dataset: 0.1243 eV per atom
E_tot: -5.63 eV/cell
formation energy: -0.07 eV per atom

No. 2
The following is a GGA-PBE calculation of a geometry-optimized RbIn8Hg6 structure, from the Alexandria database.

```
RbIn8Hg6
1.0
4.693 2.710 5.665
-4.693 2.710 5.665
0.000 -5.419 5.665
Rb In Hg
1 8 6
direct
0.000 0.000 0.000
0.145 0.466 0.812
0.188 0.855 0.534
0.220 0.220 0.220
0.466 0.812 0.145
0.534 0.188 0.855
0.780 0.780 0.780
0.812 0.145 0.466
0.855 0.534 0.188
0.167 0.581 0.340
0.340 0.167 0.581
0.419 0.660 0.833
0.581 0.340 0.167
0.660 0.833 0.419
0.833 0.419 0.660
```

Properties
E_tot: -25.17 eV/cell
formation energy: -0.03 eV per atom

No. 3
The following is a GGA-PBE calculation of a geometry-optimized Rb3In3Hg8 structure, from the Alexandria database.

```
Rb3In3Hg8
1.0
9.448 -2.707 0.000
9.448 2.707 0.000
-5.737 0.000 8.770
Rb In Hg
3 3 8
direct
0.000 0.000 0.000
0.294 0.294 0.278
0.706 0.706 0.722
0.000 0.000 0.500
0.333 0.333 0.672
0.667 0.667 0.328
0.138 0.138 0.849
0.140 0.140 0.434
0.346 0.346 0.979
0.497 0.497 0.672
0.503 0.503 0.328
0.654 0.654 0.021
0.860 0.860 0.566
0.862 0.862 0.151
```

Properties
energy above the most stable polymorph in this dataset: 0.0146 eV per atom
E_tot: -15.88 eV/cell
formation energy: -0.17 eV per atom

No. 4
The following is a GGA-PBE calculation of a geometry-optimized Rb2InHg2 structure, from the Alexandria database.

```
Rb2InHg2
1.0
8.196 0.000 0.000
0.000 8.196 0.000
0.000 0.000 5.733
Rb In Hg
4 2 4
direct
0.175 0.325 0.000
0.325 0.825 0.000
0.675 0.175 0.000
0.825 0.675 0.000
0.000 0.000 0.500
0.500 0.500 0.500
0.137 0.637 0.500
0.363 0.137 0.500
0.637 0.863 0.500
0.863 0.363 0.500
```

Properties
energy above the most stable polymorph in this dataset: 0.0652 eV per atom
E_tot: -11.85 eV/cell
formation energy: -0.13 eV per atom

Please write out number 1 again, unchanged.
The following is a GGA-PBE calculation of a geometry-optimized Rb2InHg2 structure, from the Alexandria database.

```
Rb2InHg2
1.0
-3.563 3.563 4.430
3.563 -3.563 4.430
3.563 3.563 -4.430
Rb In Hg
2 1 2
direct
0.250 0.750 0.500
0.750 0.250 0.500
0.000 0.000 0.000
0.335 0.335 0.000
0.665 0.665 0.000
```

Properties
energy above the most stable polymorph in this dataset: 0.1243 eV per atom
E_tot: -5.63 eV/cell
formation energy: -0.07 eV per atom